A relaxed LaReMo2 crystal, computed with PBE.

Summary:
- formation enthalpy at 0 K (eV per atom) = 0.49
- total moment (μB/atom) = 0.00
- final energy (eV/atom) = -9.273

a = 5.161 Å, b = 5.161 Å, c = 5.508 Å
α = 74.91°, β = 74.91°, γ = 36.35°
Atoms (fractional coordinates):
1 La 0.250 0.250 0.250
2 Mo 0.035 0.035 0.903
3 Mo 0.465 0.465 0.597
4 Re 0.750 0.750 0.750